# 1
# LiAgBr2

A relaxed structure of LiAgBr2 (PBEsol, Alexandria).

```
LiAgBr2
1.0
5.977 0.000 0.000
0.000 5.977 0.000
0.000 0.000 11.869
Li Ag Br
4 4 8
Cartesian
0.000 0.000 0.000
0.000 2.988 2.967
2.988 0.000 8.902
2.988 2.988 5.935
0.000 0.000 5.935
0.000 2.988 8.902
2.988 0.000 2.967
2.988 2.988 0.000
1.370 1.494 1.484
1.494 4.359 4.451
1.494 4.607 10.386
1.618 1.494 7.418
4.359 4.483 7.418
4.483 1.370 10.386
4.483 1.618 4.451
4.607 4.483 1.484
```

Computed properties:
ρ in g cm⁻³: 4.3
Relative energy among the computed polymorphs in kJ/mol of formula units: 0
Energy relative to the elements, uncorrected in eV/atom: -0.895
Fermi-level density of states in states/eV/cell: 0.00
Calculated volume in Å³/atom: 26.5
Symmetry: I-42d (122)

=====

# 2
# BaNiF2

A relaxed structure of BaNiF2 (PBEsol, Alexandria).

```
BaNiF2
1.0
3.679 0.000 0.000
-1.839 3.186 0.000
0.000 0.000 18.829
Ba Ni F
3 3 6
Cartesian
0.000 0.000 0.000
0.000 2.124 12.553
1.839 1.062 6.276
0.000 0.000 9.415
0.000 2.124 3.138
1.839 1.062 15.691
0.000 0.000 2.470
0.000 0.000 16.359
0.000 2.124 10.083
0.000 2.124 15.023
1.839 1.062 3.806
1.839 1.062 8.747
```

Computed properties:
ρ in g cm⁻³: 5.3
Energy relative to the elements, uncorrected in eV/atom: -1.265
Fermi-level density of states in states/eV/cell: 11.40
Calculated volume in Å³/atom: 18.4
Symmetry: R-3m (166)

=====

# 3
# LiW2I

A relaxed structure of LiW2I (PBEsol, Alexandria).

```
LiW2I
1.0
6.321 0.000 0.000
0.000 6.321 0.000
0.000 0.000 6.321
Li W I
4 8 4
Cartesian
0.000 0.000 0.000
0.000 3.160 3.160
3.160 0.000 3.160
3.160 3.160 0.000
1.580 1.580 1.580
1.580 1.580 4.741
1.580 4.741 1.580
1.580 4.741 4.741
4.741 1.580 1.580
4.741 1.580 4.741
4.741 4.741 1.580
4.741 4.741 4.741
0.000 0.000 3.160
0.000 3.160 0.000
3.160 0.000 0.000
3.160 3.160 3.160
```

Computed properties:
ρ in g cm⁻³: 13.2
Energy relative to the elements, uncorrected in eV/atom: 1.334
Fermi-level density of states in states/eV/cell: 18.03
Calculated volume in Å³/atom: 15.8
Symmetry: Fm-3m (225)

=====

# 4
# Cd3ReS

A relaxed structure of Cd3ReS (PBEsol, Alexandria).

```
Cd3ReS
1.0
4.863 0.000 0.000
0.000 4.863 0.000
0.000 0.000 4.863
Cd Re S
3 1 1
Cartesian
0.000 0.000 2.431
0.000 2.431 0.000
2.431 0.000 0.000
2.431 2.431 2.431
0.000 0.000 0.000
```

Computed properties:
ρ in g cm⁻³: 8.0
Energy relative to the elements, uncorrected in eV/atom: 1.432
Fermi-level density of states in states/eV/cell: 4.79
Calculated volume in Å³/atom: 23.0
Symmetry: Pm-3m (221)

=====

# 5
# CaRu2Au

A relaxed structure of CaRu2Au (PBEsol, Alexandria).

```
CaRu2Au
1.0
2.773 0.000 0.000
0.000 2.773 0.000
0.000 0.000 8.611
Ca Ru Au
1 2 1
Cartesian
0.000 0.000 0.000
1.387 1.387 2.338
1.387 1.387 6.273
0.000 0.000 4.306
```

Computed properties:
ρ in g cm⁻³: 11.0
Relative energy among the computed polymorphs in kJ/mol of formula units: 180
Calculated formation energy in kJ per mole of atoms: 57.0
Fermi-level density of states in states/eV/cell: 6.00
Calculated volume in Å³/atom: 16.6
Symmetry: P4/mmm (123)

=====

# 6
# Zr2TeSe

A relaxed structure of Zr2TeSe (PBEsol, Alexandria).

```
Zr2TeSe
1.0
5.223 0.000 0.000
0.000 5.223 0.000
0.000 0.000 16.043
Zr Te Se
8 4 4
Cartesian
1.045 1.306 2.005
1.306 3.657 6.016
1.306 4.178 14.038
1.566 1.306 10.027
3.657 3.917 10.027
3.917 1.045 14.038
3.917 1.566 6.016
4.178 3.917 2.005
0.000 0.000 8.022
0.000 2.612 12.033
2.612 0.000 4.011
2.612 2.612 0.000
0.000 0.000 0.000
0.000 2.612 4.011
2.612 0.000 12.033
2.612 2.612 8.022
```

Computed properties:
ρ in g cm⁻³: 5.9
Relative energy among the computed polymorphs in kJ/mol of formula units: 283
Energy relative to the elements, uncorrected in eV/atom: -0.384
Fermi-level density of states in states/eV/cell: 26.65
Calculated volume in Å³/atom: 27.4
Symmetry: I-42d (122)

=====

# 7
# Au3ClO

A relaxed structure of Au3ClO (PBEsol, Alexandria).

```
Au3ClO
1.0
4.447 0.000 0.000
0.000 4.447 0.000
0.000 0.000 4.447
Au Cl O
3 1 1
Cartesian
0.000 0.000 2.223
0.000 2.223 0.000
2.223 0.000 0.000
2.223 2.223 2.223
0.000 0.000 0.000
```

Computed properties:
ρ in g cm⁻³: 12.1
Energy relative to the elements, uncorrected in eV/atom: 0.536
Fermi-level density of states in states/eV/cell: 4.81
Calculated volume in Å³/atom: 17.6
Symmetry: Pm-3m (221)

=====

# 8
# NiAg2Rh

A relaxed structure of NiAg2Rh (PBEsol, Alexandria).

```
NiAg2Rh
1.0
2.773 0.000 0.000
0.000 4.586 0.000
0.000 0.000 9.080
Ni Ag Rh
2 4 2
Cartesian
0.000 0.000 0.000
1.387 2.293 4.540
0.000 0.000 4.412
0.000 2.293 2.323
1.387 0.000 6.863
1.387 2.293 8.952
0.000 2.293 6.528
1.387 0.000 1.989
```

Computed properties:
ρ in g cm⁻³: 10.9
Calculated formation energy in kJ per mole of atoms: 28.8
Fermi-level density of states in states/eV/cell: 11.49
Calculated volume in Å³/atom: 14.4
Symmetry: Imm2 (44)

=====

Copy entry 6 word for word.
# Zr2TeSe

A relaxed structure of Zr2TeSe (PBEsol, Alexandria).

```
Zr2TeSe
1.0
5.223 0.000 0.000
0.000 5.223 0.000
0.000 0.000 16.043
Zr Te Se
8 4 4
Cartesian
1.045 1.306 2.005
1.306 3.657 6.016
1.306 4.178 14.038
1.566 1.306 10.027
3.657 3.917 10.027
3.917 1.045 14.038
3.917 1.566 6.016
4.178 3.917 2.005
0.000 0.000 8.022
0.000 2.612 12.033
2.612 0.000 4.011
2.612 2.612 0.000
0.000 0.000 0.000
0.000 2.612 4.011
2.612 0.000 12.033
2.612 2.612 8.022
```

Computed properties:
ρ in g cm⁻³: 5.9
Relative energy among the computed polymorphs in kJ/mol of formula units: 283
Energy relative to the elements, uncorrected in eV/atom: -0.384
Fermi-level density of states in states/eV/cell: 26.65
Calculated volume in Å³/atom: 27.4
Symmetry: I-42d (122)

=====

Q: Among the records above, which one has the highest ρ?
A: LiW2I

=====

What did the seventh record say?
# Au3ClO

A relaxed structure of Au3ClO (PBEsol, Alexandria).

```
Au3ClO
1.0
4.447 0.000 0.000
0.000 4.447 0.000
0.000 0.000 4.447
Au Cl O
3 1 1
Cartesian
0.000 0.000 2.223
0.000 2.223 0.000
2.223 0.000 0.000
2.223 2.223 2.223
0.000 0.000 0.000
```

Computed properties:
ρ in g cm⁻³: 12.1
Energy relative to the elements, uncorrected in eV/atom: 0.536
Fermi-level density of states in states/eV/cell: 4.81
Calculated volume in Å³/atom: 17.6
Symmetry: Pm-3m (221)

=====

Q: Which formula does entry 2 have?
A: BaNiF2